Version i
Here is crystalline YHoMgOs at its relaxed geometry from the Alexandria database. Energies are from PBE-GGA.

The space group is F-43m (No. 216) and the conventional cell measures 7.059, 7.059 and 7.059 Å, with angles of 90.00, 90.00 and 90.00 degrees. The asymmetric unit holds Y at (0.000, 0.000, 0.000), Ho at (0.000, 0.000, 0.500), Mg at (0.250, 0.250, 0.750) and Os at (0.250, 0.250, 0.250).

Version ii
Here is crystalline YHoMgOs at its relaxed geometry from the Alexandria database. Energies are from PBE-GGA.

The space group is P4mm (No. 99) and the conventional cell measures 3.442, 3.442 and 8.096 Å, with angles of 90.00, 90.00 and 90.00 degrees. The asymmetric unit holds Y at (0.000, 0.000, 0.000), Ho at (0.000, 0.000, 0.594), Mg at (0.500, 0.500, 0.299) and Os at (0.500, 0.500, 0.793).

The least stable of them is version i.